Material: Sr3Sn4Au4
Method: DFT, PBE
State: relaxed

Cell lengths 14.027, 14.027, 14.027 Å; angles 160.93, 160.28, 27.57 degrees
Fractional coordinates of all 11 atoms:
1 Sr 0.000 0.000 0.000
2 Sr 0.349 0.849 0.500
3 Sr 0.651 0.151 0.500
4 Sn 0.196 0.696 0.500
5 Sn 0.448 0.448 0.000
6 Sn 0.552 0.552 0.000
7 Sn 0.804 0.304 0.500
8 Au 0.096 0.596 0.500
9 Au 0.251 0.251 0.000
10 Au 0.749 0.749 0.000
11 Au 0.904 0.404 0.500

The space group is No. 71. The value obtained for the total energy is -3.72 eV per atom.